Ni2BRh2 | PBE | optimized geometry

a = 5.558 Å, b = 5.558 Å, c = 4.073 Å
α = 90.00°, β = 90.00°, γ = 90.00°
Sites, in units of the cell vectors:
Ni  0.152  0.348  0.000
Ni  0.348  0.848  0.000
Ni  0.652  0.152  0.000
Ni  0.848  0.652  0.000
B  0.000  0.000  0.500
B  0.500  0.500  0.500
Rh  0.161  0.661  0.500
Rh  0.339  0.161  0.500
Rh  0.661  0.839  0.500
Rh  0.839  0.339  0.500

Values from the calculation:
For the formation enthalpy at 0 K, the calculation gives 0.116 eV per atom. As for the crystal system: tetragonal. The energy above the lowest structure with this stoichiometry comes out at 0.0066 eV per atom. The total magnetization comes out at 5.61 Bohr magnetons per cell. The raw total energy is -6.47 eV/atom.

***

Ni5B2Rh | PBE | optimized geometry

a = 5.301 Å, b = 5.301 Å, c = 5.301 Å
α = 144.03°, β = 107.57°, γ = 83.61°
Sites, in units of the cell vectors:
Ni  0.000  0.000  0.000
Ni  0.038  0.345  0.693
Ni  0.348  0.655  0.693
Ni  0.652  0.345  0.307
Ni  0.962  0.655  0.307
B  0.263  0.263  0.000
B  0.737  0.737  0.000
Rh  0.500  0.000  0.500

Values from the calculation:
For the formation enthalpy at 0 K, the calculation gives -0.056 eV per atom. As for the crystal system: orthorhombic. The total magnetization comes out at 1.01 Bohr magnetons per cell. The raw total energy is -6.26 eV/atom.

***

Ni6B2Rh | PBE | optimized geometry

a = 6.168 Å, b = 6.168 Å, c = 6.168 Å
α = 156.14°, β = 98.42°, γ = 86.51°
Sites, in units of the cell vectors:
Ni  0.123  0.369  0.755
Ni  0.202  0.202  0.000
Ni  0.386  0.631  0.755
Ni  0.614  0.369  0.245
Ni  0.798  0.798  0.000
Ni  0.877  0.631  0.245
B  0.117  0.000  0.117
B  0.883  0.000  0.883
Rh  0.500  0.000  0.500

Values from the calculation:
For the formation enthalpy at 0 K, the calculation gives -0.070 eV per atom. As for the crystal system: orthorhombic. The total magnetization comes out at 0.00 Bohr magnetons per cell. The raw total energy is -6.23 eV/atom.

***

Please write out number 1 again, unchanged.
Ni2BRh2 | PBE | optimized geometry

a = 5.558 Å, b = 5.558 Å, c = 4.073 Å
α = 90.00°, β = 90.00°, γ = 90.00°
Sites, in units of the cell vectors:
Ni  0.152  0.348  0.000
Ni  0.348  0.848  0.000
Ni  0.652  0.152  0.000
Ni  0.848  0.652  0.000
B  0.000  0.000  0.500
B  0.500  0.500  0.500
Rh  0.161  0.661  0.500
Rh  0.339  0.161  0.500
Rh  0.661  0.839  0.500
Rh  0.839  0.339  0.500

Values from the calculation:
For the formation enthalpy at 0 K, the calculation gives 0.116 eV per atom. As for the crystal system: tetragonal. The energy above the lowest structure with this stoichiometry comes out at 0.0066 eV per atom. The total magnetization comes out at 5.61 Bohr magnetons per cell. The raw total energy is -6.47 eV/atom.